Computed, not measured: a PBEsol-optimized structure of CrCoS2 at the meta-GGA SCAN level of DFT.

Summary:
* uncorrected energy: -54.6 eV for the cell shown
* E_form (uncorrected): 1.98 kcal/mol of atoms
* energy relative to the lowest polymorph listed for this composition: 1.653 eV per formula unit

Unit cell a=4.008 b=4.008 c=4.008 alpha=60.00 beta=60.00 gamma=60.00
Site moments in Bohr magnetons follow the coordinates.
Fractional positions:
1 Cr 0.000 0.000 0.000  1.14
2 S 0.250 0.250 0.250  0.06
3 S 0.750 0.750 0.750  0.06
4 Co 0.500 0.500 0.500  1.59